[1]
Computed, not measured: a relaxed Ho4NiAg crystal at the GGA-PBE level of DFT.

Cell lengths 7.800, 7.800, 7.800 Å; angles 105.50, 105.50, 117.75 degrees
Fractional positions:
Ho (0.269, 0.963, 0.694)
Ho (0.731, 0.448, 0.717)
Ho (0.713, 0.519, 0.194)
Ho (0.198, 0.981, 0.217)
Ho (0.326, 0.519, 0.806)
Ho (0.764, 0.981, 0.783)
Ho (0.731, 0.014, 0.283)
Ho (0.269, 0.576, 0.306)
Ni (0.761, 0.761, 0.000)
Ni (0.511, 0.011, 0.500)
Ag (0.238, 0.238, 0.000)
Ag (0.988, 0.488, 0.500)

Values from the calculation:
DFT total energy = -4.49 eV per atom
Mass density = 7.63 g/cm³
Energy above the most stable polymorph in this dataset = 300 meV per atom
Formation enthalpy at 0 K = 1 meV per atom


[2]
Computed, not measured: a relaxed Ho7Ni2Ag2 crystal at the GGA-PBE level of DFT.

Cell lengths 6.659, 6.935, 6.659 Å; angles 90.00, 109.70, 90.00 degrees
Fractional positions:
Ho (0.000, 0.249, 0.500)
Ho (0.500, 0.751, 0.000)
Ho (0.000, 0.751, 0.500)
Ho (0.500, 0.249, 0.000)
Ho (0.000, 0.000, 0.000)
Ho (0.500, 0.757, 0.500)
Ho (0.500, 0.243, 0.500)
Ni (0.706, 0.000, 0.294)
Ni (0.294, 0.000, 0.706)
Ag (0.820, 0.500, 0.820)
Ag (0.180, 0.500, 0.180)

Values from the calculation:
DFT total energy = -4.63 eV per atom
Mass density = 8.53 g/cm³
Energy above the most stable polymorph in this dataset = 109 meV per atom
Formation enthalpy at 0 K = -144 meV per atom


[3]
Computed, not measured: a relaxed Ho6NiAg2 crystal at the GGA-PBE level of DFT.

Cell lengths 8.430, 8.430, 8.430 Å; angles 73.04, 69.34, 110.82 degrees
Fractional positions:
Ho (0.171, 0.747, 0.082)
Ho (0.829, 0.253, 0.918)
Ho (0.171, 0.253, 0.575)
Ho (0.829, 0.747, 0.425)
Ho (0.447, 0.262, 0.816)
Ho (0.553, 0.738, 0.184)
Ho (0.078, 0.262, 0.184)
Ho (0.922, 0.738, 0.816)
Ho (0.329, 0.055, 0.274)
Ho (0.671, 0.945, 0.726)
Ho (0.329, 0.604, 0.726)
Ho (0.671, 0.396, 0.274)
Ni (0.500, 0.500, 0.000)
Ni (0.000, 0.000, 0.000)
Ag (0.139, 0.639, 0.500)
Ag (0.861, 0.361, 0.500)
Ag (0.352, 0.000, 0.648)
Ag (0.648, 0.000, 0.352)

Values from the calculation:
DFT total energy = -4.48 eV per atom
Mass density = 9.12 g/cm³
Energy above the most stable polymorph in this dataset = 7 meV per atom
Formation enthalpy at 0 K = -156 meV per atom


[4]
Computed, not measured: a relaxed Ho2Ni2Ag crystal at the GGA-PBE level of DFT.

Cell lengths 3.590, 3.933, 7.184 Å; angles 105.89, 90.00, 90.00 degrees
Fractional positions:
Ho (0.500, 0.635, 0.270)
Ho (0.500, 0.365, 0.730)
Ni (0.000, 0.199, 0.398)
Ni (0.000, 0.801, 0.602)
Ag (0.000, 0.000, 0.000)

Values from the calculation:
DFT total energy = -5.15 eV per atom
Mass density = 9.45 g/cm³
Energy above the most stable polymorph in this dataset = 0 meV per atom
Formation enthalpy at 0 K = -432 meV per atom


[5]
Computed, not measured: a relaxed Ho2Ni2Ag crystal at the GGA-PBE level of DFT.

Cell lengths 3.608, 7.289, 7.289 Å; angles 90.00, 90.00, 90.00 degrees
Fractional positions:
Ho (0.500, 0.176, 0.676)
Ho (0.500, 0.676, 0.824)
Ho (0.500, 0.824, 0.324)
Ho (0.500, 0.324, 0.176)
Ni (0.000, 0.381, 0.881)
Ni (0.000, 0.881, 0.619)
Ni (0.000, 0.619, 0.119)
Ni (0.000, 0.119, 0.381)
Ag (0.000, 0.000, 0.000)
Ag (0.000, 0.500, 0.500)

Values from the calculation:
DFT total energy = -5.14 eV per atom
Mass density = 9.62 g/cm³
Energy above the most stable polymorph in this dataset = 8 meV per atom
Formation enthalpy at 0 K = -424 meV per atom


[6]
Computed, not measured: a relaxed Ho5Ni2Ag2 crystal at the GGA-PBE level of DFT.

Cell lengths 7.152, 7.565, 8.537 Å; angles 90.00, 65.24, 90.00 degrees
Fractional positions:
Ho (0.000, 0.000, 0.000)
Ho (0.500, 0.500, 0.000)
Ho (0.452, 0.180, 0.749)
Ho (0.799, 0.820, 0.749)
Ho (0.299, 0.680, 0.749)
Ho (0.952, 0.320, 0.749)
Ho (0.548, 0.820, 0.251)
Ho (0.201, 0.180, 0.251)
Ho (0.701, 0.320, 0.251)
Ho (0.048, 0.680, 0.251)
Ni (0.117, 0.379, 0.000)
Ni (0.883, 0.621, 0.000)
Ni (0.383, 0.879, 0.000)
Ni (0.617, 0.121, 0.000)
Ag (0.215, 0.000, 0.571)
Ag (0.715, 0.500, 0.571)
Ag (0.785, 0.000, 0.429)
Ag (0.285, 0.500, 0.429)

Values from the calculation:
DFT total energy = -4.77 eV per atom
Mass density = 9.17 g/cm³
Formation enthalpy at 0 K = -310 meV per atom


[7]
Computed, not measured: a relaxed HoNi4Ag crystal at the GGA-PBE level of DFT.

Cell lengths 4.933, 4.933, 4.933 Å; angles 60.00, 60.00, 60.00 degrees
Fractional positions:
Ni (0.626, 0.626, 0.123)
Ni (0.626, 0.123, 0.626)
Ni (0.626, 0.626, 0.626)
Ni (0.123, 0.626, 0.626)
Ho (0.250, 0.250, 0.250)
Ag (0.000, 0.000, 0.000)

Values from the calculation:
DFT total energy = -5.39 eV per atom
Mass density = 9.93 g/cm³
Formation enthalpy at 0 K = -296 meV per atom


[8]
Computed, not measured: a relaxed Ho6NiAg2 crystal at the GGA-PBE level of DFT.

Cell lengths 6.706, 7.243, 9.997 Å; angles 90.00, 86.38, 90.00 degrees
Fractional positions:
Ho (0.868, 0.986, 0.250)
Ho (0.816, 0.685, 0.551)
Ho (0.841, 0.687, 0.944)
Ho (0.659, 0.187, 0.556)
Ho (0.684, 0.185, 0.949)
Ho (0.632, 0.486, 0.250)
Ho (0.132, 0.014, 0.750)
Ho (0.184, 0.315, 0.449)
Ho (0.159, 0.313, 0.056)
Ho (0.341, 0.813, 0.444)
Ho (0.316, 0.815, 0.051)
Ho (0.368, 0.514, 0.750)
Ni (0.500, 0.500, 0.000)
Ni (0.000, 0.000, 0.500)
Ag (0.943, 0.392, 0.744)
Ag (0.557, 0.892, 0.756)
Ag (0.443, 0.108, 0.244)
Ag (0.057, 0.608, 0.256)

Values from the calculation:
DFT total energy = -4.49 eV per atom
Mass density = 8.66 g/cm³
Energy above the most stable polymorph in this dataset = 0 meV per atom
Formation enthalpy at 0 K = -163 meV per atom